A geometry-optimized CaMgCoHNF structure. Source: the Alexandria database, functional PBE+U.

Output
E above lowest polymorph = 4.6 kJ/mol of atoms

a = 3.744 Å, b = 3.187 Å, c = 13.850 Å
α = 90.00°, β = 90.00°, γ = 90.00°
Element x y z (fractional)
1 Mg 0.500 0.500 0.035
2 Mg 0.500 0.000 0.535
3 H 0.000 0.000 0.282
4 H 0.000 0.500 0.782
5 Ca 0.500 0.500 0.268
6 Ca 0.500 0.000 0.768
7 F 0.500 0.000 0.935
8 F 0.500 0.500 0.435
9 Co 0.000 0.500 0.645
10 Co 0.000 0.000 0.145
11 N 0.500 0.500 0.636
12 N 0.500 0.000 0.136

---

A geometry-optimized Cs2NbWF6 structure. Source: the Alexandria database, functional PBE+U.

a = 6.602 Å, b = 6.602 Å, c = 6.446 Å
α = 59.20°, β = 59.20°, γ = 90.00°
Element x y z (fractional)
1 Cs 0.250 0.750 0.500
2 Cs 0.750 0.250 0.500
3 F 0.240 0.240 0.519
4 F 0.254 0.254 0.000
5 F 0.254 0.746 0.000
6 F 0.746 0.746 0.000
7 F 0.746 0.254 0.000
8 F 0.760 0.760 0.481
9 W 0.000 0.000 0.000
10 Nb 0.500 0.500 0.000

---

Record order is preserved below.
Total energy: -57.06, -51.37 eV/cell
Record order is preserved below.
Total moment: 2.05, 7.00 μB per formula unit